i:
MnTe2Ir: PBEsol geometry, SCAN.

The structure belongs to space group I-4m2 (No. 119); the cell edges are 3.975, 3.975 and 9.579 Å and the angles 90.00°, 90.00° and 90.00°. The distinct sites, in fractional coordinates, are Mn at (0.000, 0.000, 0.000), Te at (0.000, 0.000, 0.500), Te at (0.000, 0.500, 0.250) and Ir at (0.000, 0.500, 0.750).

As for the crystal system: tetragonal. Its density of states at the Fermi level is 0.732 states/eV/atom. Its total magnetization is 3.94 μB per formula unit.

ii:
MnTe2Ir: PBEsol geometry, SCAN.

The structure belongs to space group R-3m (No. 166, hexagonal axes); the cell edges are 4.0106, 4.0106 and 18.1471 Å and the angles 90.00°, 90.00° and 120.00°. The distinct sites, in fractional coordinates, are Mn at (0.0000, 0.0000, 0.0000), Te at (0.0000, 0.0000, 0.2428) and Ir at (0.0000, 0.0000, 0.5000).

As for the crystal system: trigonal. Its density of states at the Fermi level is 0.553 states/eV/atom. Its total magnetization is 4.65 μB per formula unit.

Which of them is least stable? Easy: i.

i:
YMn2Ir: PBEsol geometry, SCAN.

The structure belongs to space group P4/mmm (No. 123); the cell edges are 3.123, 3.123 and 6.762 Å and the angles 90.00°, 90.00° and 90.00°. The distinct sites, in fractional coordinates, are Y at (0.000, 0.000, 0.000), Mn at (0.500, 0.500, 0.301) and Ir at (0.000, 0.000, 0.500).

As for the crystal system: tetragonal. Its density of states at the Fermi level is 0.836 states/eV/atom. Its total magnetization is 7.66 μB per formula unit.

ii:
YMn2Ir: PBEsol geometry, SCAN.

The structure belongs to space group I-4m2 (No. 119); the cell edges are 4.523, 4.523 and 6.384 Å and the angles 90.00°, 90.00° and 90.00°. The distinct sites, in fractional coordinates, are Y at (0.000, 0.000, 0.000), Mn at (0.000, 0.000, 0.500), Mn at (0.000, 0.500, 0.250) and Ir at (0.000, 0.500, 0.750).

As for the crystal system: tetragonal. Its density of states at the Fermi level is 0.663 states/eV/atom. Its total magnetization is 0.96 μB per formula unit.

Which of them is least stable? Easy: i.

i:
MnZnIr3: PBEsol geometry, SCAN.

The structure belongs to space group Pm-3m (No. 221); the cell edges are 4.398, 4.398 and 4.398 Å and the angles 90.00°, 90.00° and 90.00°. The distinct sites, in fractional coordinates, are Mn at (0.000, 0.000, 0.000), Zn at (0.500, 0.500, 0.500) and Ir at (0.000, 0.000, 0.500).

As for the crystal system: cubic. Its density of states at the Fermi level is 1.187 states/eV/atom. Its total magnetization is 0.00 μB per formula unit.

ii:
MnZnIr3: PBEsol geometry, SCAN.

The structure belongs to space group Pm-3m (No. 221); the cell edges are 4.438, 4.438 and 4.438 Å and the angles 90.00°, 90.00° and 90.00°. The distinct sites, in fractional coordinates, are Mn at (0.000, 0.000, 0.000), Zn at (0.500, 0.500, 0.500) and Ir at (0.000, 0.500, 0.500).

As for the crystal system: cubic. Its density of states at the Fermi level is 0.844 states/eV/atom. Its total magnetization is 4.45 μB per formula unit.

Which of them is least stable? Easy: i.